! Sm2Co2O5 (PBE with a Hubbard U, relaxed); values from VASP
! Raw total energy ... -0.5099 Ry/atom
! Magnetization ... 0.00 μB per formula unit
&SYSTEM
  ibrav = 0, nat = 9, ntyp = 3
/
ATOMIC_SPECIES
Co 58.93 Co.upf
O 16.00 O.upf
Sm 150.36 Sm.upf
ATOMIC_POSITIONS angstrom
Co 1.588 1.935 1.935
Co 5.573 1.935 1.935
O 1.537 1.935 0.000
O 5.625 1.935 0.000
O 1.537 0.000 1.935
O 5.625 0.000 1.935
O 3.581 1.935 1.935
Sm 0.000 0.000 0.000
Sm 3.581 0.000 0.000
CELL_PARAMETERS angstrom
7.161 0.000 0.000
0.000 3.870 0.000
0.000 0.000 3.870